VASP calculation (GGA-PBE) on a geometry-optimized Ni8As2P structure.

```
Ni8As2P
1.0
6.458 -1.907 0.000
6.458 1.907 0.000
-2.265 0.000 5.237
Ni As P
8 2 1
Direct
0.027 0.027 0.313
0.191 0.191 0.781
0.336 0.336 0.560
0.412 0.412 0.069
0.588 0.588 0.931
0.664 0.664 0.440
0.809 0.809 0.219
0.973 0.973 0.687
0.176 0.176 0.175
0.824 0.824 0.825
0.500 0.500 0.500
```

Values from the calculation:
* energy of formation from the pure elements: -3.1 eV per formula unit
* DFT total energy: -5.827 eV/atom
* total magnetization: 0.00 μB/f.u.
* calculated volume: 129 Å³/cell